Entry from Alexandria via LeMat-Bulk: a crystal of MgHg relaxed with PBEsol (SCAN).

**Raw total energy**: -73.7 eV per formula unit
**Fermi-level density of states**: 0.332 states/eV/atom
**ΔH_f (0 K)**: -288 meV/atom

Geometry as extended XYZ:
```
6
Lattice="5.310 -1.673 0.000 5.310 1.673 0.000 -2.779 0.000 7.120" Properties=species:S:1:pos:R:3 pbc="T T T"
Mg 0.000 0.000 0.000
Mg -1.028 0.000 4.290
Mg 6.698 0.000 2.442
Hg 1.814 0.000 4.802
Hg 3.829 0.000 1.915
Hg 4.909 0.000 6.693
```